Arrangement w

CsMgBiPd, optimized geometry, DFT GGA-PBE; crystal system = cubic; space group = No. 216
1.0
0.000 3.804 3.804
3.804 0.000 3.804
3.804 3.804 0.000
Mg Pd Bi Cs
1 1 1 1
direct
0.750 0.750 0.750
0.500 0.500 0.500
0.250 0.250 0.250
0.000 0.000 0.000


Arrangement x

CsMgBiPd, optimized geometry, DFT GGA-PBE; crystal system = cubic; space group = No. 216
1.0
0.236 -5.354 -0.490
-2.524 -3.142 3.566
-4.378 -2.763 -1.472
Bi Pd Mg Cs
1 1 1 1
direct
0.500 0.500 0.500
0.250 0.250 0.250
0.750 0.750 0.750
0.000 0.000 0.000


Which structure loses on stability? arrangement w does.


Arrangement w

Cu15Bi, optimized geometry, DFT GGA-PBE; crystal system = monoclinic; space group = No. 11
1.0
-1.323 -4.609 -1.736
2.254 -1.022 0.996
-19.068 -7.754 35.185
Cu Bi
30 2
direct
0.125 0.750 0.183
0.375 0.250 0.734
0.375 0.250 0.649
0.875 0.250 0.650
0.125 0.750 0.350
0.132 0.750 0.777
0.875 0.250 0.393
0.375 0.250 0.564
0.375 0.250 0.309
0.125 0.750 0.607
0.625 0.750 0.351
0.375 0.250 0.393
0.875 0.250 0.564
0.875 0.250 0.479
0.125 0.750 0.521
0.625 0.750 0.436
0.868 0.250 0.223
0.625 0.750 0.266
0.382 0.250 0.223
0.875 0.250 0.309
0.125 0.750 0.691
0.625 0.750 0.521
0.618 0.750 0.777
0.625 0.750 0.691
0.375 0.250 0.479
0.875 0.250 0.817
0.875 0.250 0.734
0.125 0.750 0.436
0.625 0.750 0.607
0.125 0.750 0.266
0.625 0.750 0.160
0.375 0.250 0.840


Arrangement x

Cu15Bi, optimized geometry, DFT GGA-PBE; crystal system = monoclinic; space group = No. 11
1.0
6.986 0.000 0.000
0.000 2.655 0.000
-0.004 0.000 34.112
Cu Bi
30 2
direct
0.875 0.750 0.870
0.375 0.750 0.944
0.375 0.750 0.721
0.621 0.250 0.756
0.877 0.750 0.168
0.875 0.750 0.019
0.375 0.750 0.019
0.125 0.250 0.056
0.125 0.250 0.981
0.625 0.250 0.279
0.125 0.250 0.206
0.375 0.750 0.870
0.625 0.250 0.130
0.875 0.750 0.794
0.125 0.250 0.907
0.625 0.250 0.205
0.625 0.250 0.056
0.375 0.750 0.093
0.375 0.750 0.795
0.625 0.250 0.907
0.373 0.750 0.168
0.625 0.250 0.981
0.123 0.250 0.832
0.125 0.250 0.130
0.875 0.750 0.093
0.875 0.750 0.944
0.379 0.750 0.244
0.871 0.750 0.244
0.627 0.250 0.832
0.129 0.250 0.756
0.875 0.750 0.703
0.125 0.250 0.297


Which structure loses on stability? arrangement x does.


Arrangement w

Cu15Bi, optimized geometry, DFT GGA-PBE; crystal system = monoclinic; space group = No. 13
1.0
-1.343 2.682 -3.229
-27.894 7.823 18.101
2.480 2.303 2.826
Cu Bi
30 2
direct
0.500 0.296 0.250
0.500 0.257 0.750
0.500 0.593 0.250
0.000 0.257 0.250
0.000 0.630 0.250
0.000 0.593 0.750
0.000 0.556 0.250
0.500 0.743 0.250
0.000 0.444 0.750
0.500 0.518 0.250
0.000 0.407 0.250
0.500 0.630 0.750
0.500 0.704 0.750
0.500 0.370 0.250
0.000 0.743 0.750
0.500 0.407 0.750
0.000 0.295 0.750
0.500 0.667 0.250
0.000 0.370 0.750
0.500 0.444 0.250
0.000 0.519 0.750
0.500 0.333 0.750
0.500 0.222 0.250
0.500 0.482 0.750
0.000 0.667 0.750
0.500 0.778 0.750
0.000 0.481 0.250
0.000 0.333 0.250
0.000 0.705 0.250
0.500 0.556 0.750
0.000 0.796 0.250
0.000 0.204 0.750


Arrangement x

Cu15Bi, optimized geometry, DFT GGA-PBE; crystal system = orthorhombic; space group = No. 51
1.0
3.605 0.000 0.000
0.000 3.607 0.000
0.000 0.000 42.114
Cu Bi
30 2
direct
0.750 0.500 0.765
0.250 0.500 0.808
0.250 0.500 0.723
0.250 0.000 0.021
0.750 0.000 0.979
0.750 0.500 0.277
0.750 0.500 0.936
0.250 0.000 0.107
0.750 0.500 0.021
0.250 0.500 0.979
0.750 0.000 0.149
0.750 0.500 0.683
0.250 0.500 0.317
0.250 0.000 0.936
0.250 0.500 0.064
0.250 0.500 0.149
0.750 0.000 0.808
0.750 0.500 0.107
0.750 0.000 0.234
0.250 0.500 0.235
0.750 0.000 0.723
0.250 0.500 0.893
0.750 0.000 0.064
0.750 0.000 0.893
0.250 0.000 0.851
0.750 0.500 0.851
0.250 0.000 0.277
0.250 0.000 0.766
0.750 0.500 0.192
0.250 0.000 0.192
0.750 0.000 0.343
0.250 0.000 0.657


Which structure loses on stability? arrangement w does.


Arrangement w

Cu15Bi, optimized geometry, DFT GGA-PBE; crystal system = monoclinic; space group = No. 11
1.0
-1.437 4.856 -0.656
-3.408 -0.933 0.559
3.923 5.659 33.374
Cu Bi
30 2
direct
0.375 0.750 0.332
0.125 0.250 0.518
0.879 0.750 0.257
0.625 0.250 0.296
0.375 0.750 0.704
0.625 0.250 0.668
0.375 0.750 0.407
0.125 0.250 0.668
0.629 0.250 0.743
0.625 0.250 0.593
0.875 0.750 0.332
0.625 0.250 0.222
0.625 0.250 0.519
0.875 0.750 0.407
0.875 0.750 0.631
0.375 0.750 0.555
0.121 0.250 0.743
0.125 0.250 0.369
0.625 0.250 0.370
0.625 0.250 0.445
0.125 0.250 0.593
0.125 0.250 0.294
0.375 0.750 0.778
0.375 0.750 0.630
0.875 0.750 0.556
0.371 0.750 0.257
0.375 0.750 0.481
0.875 0.750 0.482
0.125 0.250 0.444
0.875 0.750 0.706
0.125 0.250 0.200
0.875 0.750 0.800


Arrangement x

Cu15Bi, optimized geometry, DFT GGA-PBE; crystal system = orthorhombic; space group = No. 49
1.0
-7.326 -0.364 -0.713
4.320 -10.784 -38.861
0.080 -3.561 0.997
Cu Bi
60 4
direct
0.618 0.735 0.000
0.626 0.308 0.000
0.625 0.351 0.500
0.124 0.351 0.500
0.375 0.649 0.500
0.618 0.265 0.500
0.871 0.735 0.500
0.625 0.479 0.000
0.375 0.479 0.500
0.382 0.265 0.000
0.125 0.394 0.000
0.625 0.649 0.000
0.125 0.521 0.500
0.875 0.308 0.500
0.125 0.692 0.500
0.102 0.817 0.000
0.875 0.564 0.500
0.875 0.436 0.000
0.625 0.394 0.000
0.386 0.782 0.000
0.875 0.394 0.500
0.876 0.351 0.000
0.129 0.735 0.000
0.375 0.564 0.500
0.898 0.817 0.500
0.125 0.308 0.000
0.375 0.606 0.000
0.375 0.521 0.000
0.898 0.183 0.000
0.614 0.782 0.500
0.125 0.606 0.500
0.876 0.649 0.500
0.871 0.265 0.000
0.625 0.521 0.500
0.124 0.649 0.000
0.125 0.564 0.000
0.861 0.775 0.000
0.875 0.521 0.000
0.625 0.606 0.500
0.626 0.692 0.500
0.139 0.775 0.500
0.139 0.225 0.000
0.386 0.218 0.500
0.374 0.308 0.500
0.875 0.606 0.000
0.375 0.351 0.000
0.861 0.225 0.500
0.875 0.692 0.000
0.382 0.735 0.500
0.125 0.436 0.500
0.375 0.436 0.000
0.129 0.265 0.500
0.125 0.479 0.000
0.875 0.479 0.500
0.374 0.692 0.000
0.625 0.436 0.500
0.614 0.218 0.000
0.625 0.564 0.000
0.375 0.394 0.500
0.102 0.183 0.500
0.314 0.842 0.500
0.686 0.842 0.000
0.686 0.158 0.500
0.314 0.158 0.000


Which structure loses on stability? arrangement w does.


Arrangement w

FeCuNiBi, optimized geometry, DFT GGA-PBE; crystal system = cubic; space group = No. 216
1.0
0.000 3.133 3.133
3.133 0.000 3.133
3.133 3.133 0.000
Ni Cu Fe Bi
1 1 1 1
direct
0.500 0.500 0.500
0.000 0.000 0.000
0.750 0.750 0.750
0.250 0.250 0.250


Arrangement x

FeCuNiBi, optimized geometry, DFT GGA-PBE; crystal system = cubic; space group = No. 216
1.0
0.000 3.096 3.096
3.096 0.000 3.096
3.096 3.096 0.000
Ni Bi Fe Cu
1 1 1 1
direct
0.000 0.000 0.000
0.250 0.250 0.250
0.500 0.500 0.500
0.750 0.750 0.750


Which structure loses on stability? arrangement w does.


Arrangement w

CuGeBi, optimized geometry, DFT GGA-PBE; crystal system = cubic; space group = No. 216
1.0
0.000 3.360 3.360
3.360 0.000 3.360
3.360 3.360 0.000
Ge Cu Bi
1 1 1
direct
0.750 0.750 0.750
0.250 0.250 0.250
0.000 0.000 0.000


Arrangement x

CuGeBi, optimized geometry, DFT GGA-PBE; crystal system = cubic; space group = No. 216
1.0
-4.336 -0.871 1.068
-2.957 -1.158 -3.258
-1.587 -4.258 -0.223
Ge Bi Cu
1 1 1
direct
0.750 0.750 0.750
0.250 0.250 0.250
0.000 0.000 0.000


Which structure loses on stability? arrangement w does.